Material: SrNi4O8
Method: DFT, GGA+U
State: optimized geometry

Unit cell a=6.831 b=6.831 c=6.831 alpha=49.49 beta=49.49 gamma=49.49
Sites, in units of the cell vectors:
Sr  0.000  0.000  0.000
Ni  0.000  0.000  0.500
Ni  0.000  0.500  0.000
Ni  0.500  0.000  0.000
Ni  0.500  0.500  0.500
O  0.201  0.733  0.733
O  0.220  0.220  0.220
O  0.267  0.267  0.799
O  0.267  0.799  0.267
O  0.733  0.201  0.733
O  0.733  0.733  0.201
O  0.780  0.780  0.780
O  0.799  0.267  0.267

Summary:
* volume: 169 Å³/f.u.
* E_tot: -4.9643 eV per atom
* crystal system: trigonal